i:
DFT (PBE-GGA) results for crystalline La2BeHgBr at its relaxed geometry.

It has space group P4/mmm (No. 123), with a = 6.0640 Å, b = 6.0640 Å, c = 4.3569 Å, α = 90.00°, β = 90.00° and γ = 90.00°. The inequivalent atoms are La at (0.0000, 0.5000, 0.0000), Be at (0.0000, 0.0000, 0.5000), Hg at (0.0000, 0.0000, 0.0000) and Br at (0.5000, 0.5000, 0.5000).

As for the crystal system: tetragonal. The calculation puts the total magnetization at 0.200 μB/atom.



ii:
DFT (PBE-GGA) results for crystalline La2BeHgBr at its relaxed geometry.

It has space group P4/mmm (No. 123), with a = 5.6418 Å, b = 5.6418 Å, c = 4.4070 Å, α = 90.00°, β = 90.00° and γ = 90.00°. The inequivalent atoms are La at (0.0000, 0.5000, 0.0000), Be at (0.0000, 0.0000, 0.0000), Hg at (0.0000, 0.0000, 0.5000) and Br at (0.5000, 0.5000, 0.5000).

As for the crystal system: tetragonal. The calculation puts the total magnetization at 0.000 μB/atom.



Relative energies in meV/atom: i 230; ii 0



i:
DFT (PBE-GGA) results for crystalline BeI2BrO at its relaxed geometry.

It has space group P4/mmm (No. 123), with a = 5.8535 Å, b = 5.8535 Å, c = 3.9844 Å, α = 90.00°, β = 90.00° and γ = 90.00°. The inequivalent atoms are Be at (0.0000, 0.0000, 0.0000), I at (0.0000, 0.5000, 0.5000), Br at (0.5000, 0.5000, 0.5000) and O at (0.5000, 0.5000, 0.0000).

As for the crystal system: tetragonal. The calculation puts the total magnetization at 0.000 μB/atom.



ii:
DFT (PBE-GGA) results for crystalline BeI2BrO at its relaxed geometry.

It has space group P4/mmm (No. 123), with a = 8.4795 Å, b = 8.4795 Å, c = 2.8387 Å, α = 90.00°, β = 90.00° and γ = 90.00°. The inequivalent atoms are Be at (0.0000, 0.0000, 0.0000), I at (0.0000, 0.5000, 0.0000), Br at (0.5000, 0.5000, 0.5000) and O at (0.0000, 0.0000, 0.5000).

As for the crystal system: tetragonal. The calculation puts the total magnetization at 0.002 μB/atom.



Relative energies in meV/atom: i 1652; ii 0



i:
DFT (PBE-GGA) results for crystalline BeIBrO2 at its relaxed geometry.

It has space group P4/mmm (No. 123), with a = 3.8411 Å, b = 3.8411 Å, c = 7.4500 Å, α = 90.00°, β = 90.00° and γ = 90.00°. The inequivalent atoms are Be at (0.0000, 0.0000, 0.0000), I at (0.5000, 0.5000, 0.0000), Br at (0.5000, 0.5000, 0.5000) and O at (0.0000, 0.5000, 0.5000).

As for the crystal system: tetragonal. The calculation puts the total magnetization at 0.000 μB/atom.



ii:
DFT (PBE-GGA) results for crystalline BeIBrO2 at its relaxed geometry.

It has space group P4/mmm (No. 123), with a = 3.7962 Å, b = 3.7962 Å, c = 6.2211 Å, α = 90.00°, β = 90.00° and γ = 90.00°. The inequivalent atoms are Be at (0.0000, 0.0000, 0.0000), I at (0.0000, 0.0000, 0.5000), Br at (0.5000, 0.5000, 0.5000) and O at (0.0000, 0.5000, 0.0000).

As for the crystal system: tetragonal. The calculation puts the total magnetization at 0.000 μB/atom.



Relative energies in meV/atom: i 478; ii 0



i:
DFT (PBE-GGA) results for crystalline BeTe2IBr at its relaxed geometry.

It has space group P4/mmm (No. 123), with a = 5.6337 Å, b = 5.6337 Å, c = 5.8155 Å, α = 90.00°, β = 90.00° and γ = 90.00°. The inequivalent atoms are Be at (0.0000, 0.0000, 0.0000), Te at (0.0000, 0.5000, 0.5000), I at (0.5000, 0.5000, 0.0000) and Br at (0.5000, 0.5000, 0.5000).

As for the crystal system: tetragonal. The calculation puts the total magnetization at 0.000 μB/atom.



ii:
DFT (PBE-GGA) results for crystalline BeTe2IBr at its relaxed geometry.

It has space group P4/mmm (No. 123), with a = 5.1285 Å, b = 5.1285 Å, c = 5.1269 Å, α = 90.00°, β = 90.00° and γ = 90.00°. The inequivalent atoms are Be at (0.0000, 0.0000, 0.0000), Te at (0.0000, 0.5000, 0.0000), I at (0.0000, 0.0000, 0.5000) and Br at (0.5000, 0.5000, 0.5000).

As for the crystal system: tetragonal. The calculation puts the total magnetization at 0.000 μB/atom.



Relative energies in meV/atom: i 898; ii 0



i:
DFT (PBE-GGA) results for crystalline BeV2IBr at its relaxed geometry.

It has space group P4/mmm (No. 123), with a = 4.7020 Å, b = 4.7020 Å, c = 6.9229 Å, α = 90.00°, β = 90.00° and γ = 90.00°. The inequivalent atoms are Be at (0.0000, 0.0000, 0.0000), V at (0.0000, 0.5000, 0.5000), I at (0.5000, 0.5000, 0.0000) and Br at (0.5000, 0.5000, 0.5000).

As for the crystal system: tetragonal. The calculation puts the total magnetization at 1.295 μB/atom.



ii:
DFT (PBE-GGA) results for crystalline BeV2IBr at its relaxed geometry.

It has space group P4/mmm (No. 123), with a = 4.8917 Å, b = 4.8917 Å, c = 4.3942 Å, α = 90.00°, β = 90.00° and γ = 90.00°. The inequivalent atoms are Be at (0.0000, 0.0000, 0.0000), V at (0.0000, 0.5000, 0.0000), I at (0.5000, 0.5000, 0.5000) and Br at (0.0000, 0.0000, 0.5000).

As for the crystal system: tetragonal. The calculation puts the total magnetization at 1.255 μB/atom.



Relative energies in meV/atom: i 548; ii 0



i:
DFT (PBE-GGA) results for crystalline BeInBr2 at its relaxed geometry.

It has space group P4mm (No. 99), with a = 3.3824 Å, b = 3.3824 Å, c = 8.7728 Å, α = 90.00°, β = 90.00° and γ = 90.00°. The inequivalent atoms are Be at (0.0000, 0.0000, 0.0000), In at (0.5000, 0.5000, 0.7362), Br at (0.0000, 0.0000, 0.5211) and Br at (0.5000, 0.5000, 0.1235).

As for the crystal system: tetragonal. The calculation puts the total magnetization at 0.000 μB/atom.



ii:
DFT (PBE-GGA) results for crystalline BeInBr2 at its relaxed geometry.

It has space group Immm (No. 71), with a = 3.3434 Å, b = 6.3754 Å, c = 10.4741 Å, α = 90.00°, β = 90.00° and γ = 90.00°. The inequivalent atoms are Be at (0.0000, 0.0000, 0.0000), In at (0.0000, 0.0000, 0.5000) and Br at (0.0000, 0.5000, 0.3472).

As for the crystal system: orthorhombic. The calculation puts the total magnetization at 0.000 μB/atom.



iii:
DFT (PBE-GGA) results for crystalline BeInBr2 at its relaxed geometry.

It has space group P4/mmm (No. 123), with a = 5.2823 Å, b = 5.2823 Å, c = 3.7421 Å, α = 90.00°, β = 90.00° and γ = 90.00°. The inequivalent atoms are Be at (0.0000, 0.0000, 0.0000), In at (0.5000, 0.5000, 0.0000) and Br at (0.0000, 0.5000, 0.5000).

As for the crystal system: tetragonal. The calculation puts the total magnetization at 0.001 μB/atom.



iv:
DFT (PBE-GGA) results for crystalline BeInBr2 at its relaxed geometry.

It has space group P2/m (No. 10), with a = 3.7234 Å, b = 3.2732 Å, c = 10.3057 Å, α = 90.00°, β = 98.24° and γ = 90.00°. The inequivalent atoms are Be at (0.0000, 0.0000, 0.0000), In at (0.0000, 0.0000, 0.5000) and Br at (0.0776, 0.5000, 0.8531).

As for the crystal system: monoclinic. The calculation puts the total magnetization at 0.000 μB/atom.



Relative energies in meV/atom: i 307; ii 10; iii 545; iv 0



i:
DFT (PBE-GGA) results for crystalline Be3InBr at its relaxed geometry.

It has space group Pm-3m (No. 221), with a = 4.7078 Å, b = 4.7078 Å, c = 4.7078 Å, α = 90.00°, β = 90.00° and γ = 90.00°. The inequivalent atoms are Be at (0.0000, 0.0000, 0.5000), In at (0.0000, 0.0000, 0.0000) and Br at (0.5000, 0.5000, 0.5000).

As for the crystal system: cubic. The calculation puts the total magnetization at 0.000 μB/atom.



ii:
DFT (PBE-GGA) results for crystalline Be3InBr at its relaxed geometry.

It has space group Pm-3m (No. 221), with a = 4.5325 Å, b = 4.5325 Å, c = 4.5325 Å, α = 90.00°, β = 90.00° and γ = 90.00°. The inequivalent atoms are Be at (0.0000, 0.0000, 0.5000), In at (0.5000, 0.5000, 0.5000) and Br at (0.0000, 0.0000, 0.0000).

As for the crystal system: cubic. The calculation puts the total magnetization at 0.000 μB/atom.



Relative energies in meV/atom: i 0; ii 423



i:
DFT (PBE-GGA) results for crystalline BeIn3Br at its relaxed geometry.

It has space group Pm-3m (No. 221), with a = 5.0698 Å, b = 5.0698 Å, c = 5.0698 Å, α = 90.00°, β = 90.00° and γ = 90.00°. The inequivalent atoms are Be at (0.0000, 0.0000, 0.0000), In at (0.0000, 0.0000, 0.5000) and Br at (0.5000, 0.5000, 0.5000).

As for the crystal system: cubic. The calculation puts the total magnetization at 0.000 μB/atom.



ii:
DFT (PBE-GGA) results for crystalline BeIn3Br at its relaxed geometry.

It has space group Pm-3m (No. 221), with a = 5.9426 Å, b = 5.9426 Å, c = 5.9426 Å, α = 90.00°, β = 90.00° and γ = 90.00°. The inequivalent atoms are Be at (0.0000, 0.0000, 0.0000), In at (0.0000, 0.5000, 0.5000) and Br at (0.5000, 0.5000, 0.5000).

As for the crystal system: cubic. The calculation puts the total magnetization at 0.000 μB/atom.



Relative energies in meV/atom: i 0; ii 814



i:
DFT (PBE-GGA) results for crystalline BeInBr3 at its relaxed geometry.

It has space group Pna2_1 (No. 33), with a = 8.7061 Å, b = 7.3330 Å, c = 10.5421 Å, α = 90.00°, β = 90.00° and γ = 90.00°. The inequivalent atoms are Be at (0.1494, 0.0989, 0.0000), In at (0.1243, 0.5687, 0.8247), Br at (0.0057, 0.1145, 0.8428), Br at (0.1736, 0.3237, 0.1212) and Br at (0.2174, 0.3674, 0.5352).

As for the crystal system: orthorhombic. The calculation puts the total magnetization at 0.000 μB/atom.



ii:
DFT (PBE-GGA) results for crystalline BeInBr3 at its relaxed geometry.

It has space group Pm-3m (No. 221), with a = 4.9842 Å, b = 4.9842 Å, c = 4.9842 Å, α = 90.00°, β = 90.00° and γ = 90.00°. The inequivalent atoms are Be at (0.0000, 0.0000, 0.0000), In at (0.5000, 0.5000, 0.5000) and Br at (0.0000, 0.0000, 0.5000).

As for the crystal system: cubic. The calculation puts the total magnetization at 0.000 μB/atom.



Relative energies in meV/atom: i 0; ii 284



i:
DFT (PBE-GGA) results for crystalline BeIr2Br at its relaxed geometry.

It has space group Cm (No. 8), with a = 8.9402 Å, b = 2.7349 Å, c = 7.8417 Å, α = 90.00°, β = 110.01° and γ = 90.00°. The inequivalent atoms are Be at (0.0000, 0.0000, 0.0000), Ir at (0.1554, 0.5000, 0.2309), Ir at (0.3670, 0.0000, 0.1617) and Br at (0.4589, 0.5000, 0.7131).

As for the crystal system: monoclinic. The calculation puts the total magnetization at 0.047 μB/atom.



ii:
DFT (PBE-GGA) results for crystalline BeIr2Br at its relaxed geometry.

It has space group C2/m (No. 12), with a = 9.1490 Å, b = 2.8179 Å, c = 4.7181 Å, α = 90.00°, β = 103.16° and γ = 90.00°. The inequivalent atoms are Be at (0.0000, 0.0000, 0.0000), Ir at (0.2145, 0.5000, 0.2139) and Br at (0.0000, 0.5000, 0.5000).

As for the crystal system: monoclinic. The calculation puts the total magnetization at 0.000 μB/atom.



iii:
DFT (PBE-GGA) results for crystalline BeIr2Br at its relaxed geometry.

It has space group Cmmm (No. 65), with a = 2.7445 Å, b = 4.6110 Å, c = 12.1263 Å, α = 90.00°, β = 90.00° and γ = 90.00°. The inequivalent atoms are Be at (0.0000, 0.0000, 0.0000), Ir at (0.0000, 0.5000, 0.1536) and Br at (0.0000, 0.0000, 0.5000).

As for the crystal system: orthorhombic. The calculation puts the total magnetization at 0.000 μB/atom.



iv:
DFT (PBE-GGA) results for crystalline BeIr2Br at its relaxed geometry.

It has space group C2/m (No. 12), with a = 5.5612 Å, b = 8.5851 Å, c = 2.9821 Å, α = 90.00°, β = 122.36° and γ = 90.00°. The inequivalent atoms are Be at (0.0000, 0.0000, 0.0000), Ir at (0.2500, 0.2500, 0.0000) and Br at (0.0000, 0.5000, 0.0000).

As for the crystal system: monoclinic. The calculation puts the total magnetization at 0.000 μB/atom.



Relative energies in meV/atom: i 0; ii 194; iii 95; iv 422



i:
DFT (PBE-GGA) results for crystalline BeIrBr2 at its relaxed geometry.

It has space group Pmmm (No. 47), with a = 3.1889 Å, b = 4.0064 Å, c = 6.0342 Å, α = 90.00°, β = 90.00° and γ = 90.00°. The inequivalent atoms are Be at (0.0000, 0.0000, 0.0000), Ir at (0.5000, 0.0000, 0.5000), Br at (0.0000, 0.5000, 0.5000) and Br at (0.5000, 0.5000, 0.0000).

As for the crystal system: orthorhombic. The calculation puts the total magnetization at 0.000 μB/atom.



ii:
DFT (PBE-GGA) results for crystalline BeIrBr2 at its relaxed geometry.

It has space group R-3m (No. 166, hexagonal axes), with a = 3.2926 Å, b = 3.2926 Å, c = 22.9878 Å, α = 90.00°, β = 90.00° and γ = 120.00°. The inequivalent atoms are Be at (0.0000, 0.0000, 0.0000), Ir at (0.0000, 0.0000, 0.5000) and Br at (0.0000, 0.0000, 0.3944).

As for the crystal system: trigonal. The calculation puts the total magnetization at 0.000 μB/atom.



Relative energies in meV/atom: i 423; ii 0



i:
DFT (PBE-GGA) results for crystalline BeIrBr2 at its relaxed geometry.

It has space group Cm (No. 8), with a = 6.9600 Å, b = 3.3699 Å, c = 7.9366 Å, α = 90.00°, β = 92.60° and γ = 90.00°. The inequivalent atoms are Be at (0.0000, 0.0000, 0.0000), Ir at (0.2128, 0.5000, 0.1066), Br at (0.0887, 0.5000, 0.8083) and Br at (0.2854, 0.0000, 0.3438).

As for the crystal system: monoclinic. The calculation puts the total magnetization at 0.229 μB/atom.



ii:
DFT (PBE-GGA) results for crystalline BeIrBr2 at its relaxed geometry.

It has space group P4/mmm (No. 123), with a = 3.1202 Å, b = 3.1202 Å, c = 7.0963 Å, α = 90.00°, β = 90.00° and γ = 90.00°. The inequivalent atoms are Be at (0.0000, 0.0000, 0.0000), Ir at (0.0000, 0.0000, 0.5000) and Br at (0.5000, 0.5000, 0.2236).

As for the crystal system: tetragonal. The calculation puts the total magnetization at 0.189 μB/atom.



iii:
DFT (PBE-GGA) results for crystalline BeIrBr2 at its relaxed geometry.

It has space group P4/mmm (No. 123), with a = 4.6646 Å, b = 4.6646 Å, c = 3.1832 Å, α = 90.00°, β = 90.00° and γ = 90.00°. The inequivalent atoms are Be at (0.0000, 0.0000, 0.0000), Ir at (0.5000, 0.5000, 0.0000) and Br at (0.0000, 0.5000, 0.5000).

As for the crystal system: tetragonal. The calculation puts the total magnetization at 0.000 μB/atom.



Relative energies in meV/atom: i 0; ii 1119; iii 1089